A plane-wave DFT calculation with PBE was carried out for a relaxed structure of Sm2Er4Tm.

a = 6.0564 Å, b = 6.5595 Å, c = 11.5202 Å
α = 90.00°, β = 104.76°, γ = 90.00°
Closest atoms and distances in Å follow each position.
Element x y z (fractional)
Sm  0.1070  0.2500  0.0038  2 Tm 3.34-3.48, 6 Er 3.35-3.71, 2 Sm 3.52
Sm  0.2050  0.2500  0.5571  9 Er 3.29-3.46
Sm  0.7950  0.7500  0.4429  9 Er 3.29-3.46
Sm  0.8930  0.7500  0.9962  2 Tm 3.34-3.48, 6 Er 3.35-3.71, 2 Sm 3.52
Er  0.1367  0.5015  0.2885  5 Er 3.26-3.59, 1 Tm 3.37, 3 Sm 3.44-3.64
Er  0.1367  0.9985  0.2885  5 Er 3.26-3.59, 1 Tm 3.37, 3 Sm 3.44-3.64
Er  0.3592  0.7500  0.5715  1 Tm 3.31, 4 Sm 3.34-3.40, 4 Er 3.48-3.59
Er  0.4937  0.2500  0.8407  2 Sm 3.29-3.35, 3 Tm 3.38-3.43, 2 Er 3.40
Er  0.5063  0.7500  0.1593  2 Sm 3.29-3.35, 3 Tm 3.38-3.43, 2 Er 3.40
Er  0.6408  0.2500  0.4285  1 Tm 3.31, 4 Sm 3.34-3.40, 4 Er 3.48-3.59
Er  0.8633  0.0015  0.7115  5 Er 3.26-3.59, 1 Tm 3.37, 3 Sm 3.44-3.64
Er  0.8633  0.4985  0.7115  5 Er 3.26-3.59, 1 Tm 3.37, 3 Sm 3.44-3.64
Tm  0.3384  0.7500  0.8559  6 Er 3.31-3.43, 2 Sm 3.34-3.48
Tm  0.6616  0.2500  0.1441  6 Er 3.31-3.43, 2 Sm 3.34-3.48

Summary:
- ΔE to the lowest computed polymorph: 0 kJ/mol of formula units
- D(E_F): 23.813 states/eV/cell
- ΔE_f: 0.141 eV per atom

=====

A plane-wave DFT calculation with PBE was carried out for a relaxed structure of Pr2AsP.

a = 4.2553 Å, b = 6.0169 Å, c = 8.5182 Å
α = 90.00°, β = 90.00°, γ = 90.00°
Closest atoms and distances in Å follow each position.
Element x y z (fractional)
Pr  0.2500  0.2500  0.1197  4 P 2.97-3.01, 2 As 3.04
Pr  0.2500  0.2500  0.6307  2 P 2.98, 4 As 3.01-3.05
Pr  0.7500  0.7500  0.3693  2 P 2.98, 4 As 3.01-3.05
Pr  0.7500  0.7500  0.8803  4 P 2.97-3.01, 2 As 3.04
As  0.2500  0.7500  0.6254  6 Pr 3.01-3.05
As  0.7500  0.2500  0.3746  6 Pr 3.01-3.05
P  0.2500  0.7500  0.1240  6 Pr 2.97-3.01
P  0.7500  0.2500  0.8760  6 Pr 2.97-3.01

Summary:
- ΔE to the lowest computed polymorph: 0 kJ/mol of formula units
- D(E_F): 1.245 states/eV/cell
- ΔE_f: -1.506 eV per atom

=====

A plane-wave DFT calculation with PBE was carried out for a relaxed structure of Cs6TeI2Br3.

a = 12.1251 Å, b = 12.1251 Å, c = 11.0112 Å
α = 104.44°, β = 104.44°, γ = 25.08°
Closest atoms and distances in Å follow each position.
Element x y z (fractional)
Cs  0.0047  0.0047  0.2362  3 Br 3.68-3.73, 1 I 3.91, 2 Te 3.94
Cs  0.3293  0.3293  0.4280  3 Br 3.71-3.73, 2 I 3.90, 1 Te 3.91
Cs  0.3361  0.3361  0.9094  3 Br 3.72-3.75, 3 I 3.90
Cs  0.6639  0.6639  0.0906  3 Br 3.72-3.75, 3 I 3.90
Cs  0.6707  0.6707  0.5720  3 Br 3.71-3.73, 2 I 3.90, 1 Te 3.91
Cs  0.9953  0.9953  0.7638  3 Br 3.68-3.73, 1 I 3.91, 2 Te 3.94
Te  0.5000  0.5000  0.5000  6 Cs 3.91-3.94
I  0.1657  0.1657  0.8308  6 Cs 3.90-3.91
I  0.8343  0.8343  0.1692  6 Cs 3.90-3.91
Br  0.1675  0.1675  0.3307  6 Cs 3.71-3.73
Br  0.5000  0.5000  0.0000  6 Cs 3.68-3.75
Br  0.8325  0.8325  0.6693  6 Cs 3.71-3.73

Summary:
- Formation energy from raw total energies: -1.474 eV per atom
- D(E_F): 7.504 states/eV/cell

=====

A plane-wave DFT calculation with PBE was carried out for a relaxed structure of SrAcZnGe.

a = 4.4329 Å, b = 6.4393 Å, c = 6.4393 Å
α = 41.76°, β = 90.00°, γ = 90.00°
Closest atoms and distances in Å follow each position.
Element x y z (fractional)
Sr  0.0000  0.0000  0.0000  4 Zn 3.30, 3 Ge 3.40-3.50
Ac  0.5000  0.2763  0.2763  4 Ge 3.29, 3 Zn 3.37-3.55
Zn  0.5000  0.5710  0.5710  2 Ge 2.77
Ge  0.0000  0.7088  0.7088  2 Zn 2.77

Summary:
- ΔE to the lowest computed polymorph: 0 kJ/mol of formula units
- D(E_F): 3.089 states/eV/cell
- ΔE_f: -0.469 eV per atom

=====

A plane-wave DFT calculation with PBE was carried out for a relaxed structure of Tb2Pr5Y3.

a = 11.1370 Å, b = 11.1370 Å, c = 11.1370 Å
α = 112.76°, β = 77.55°, γ = 145.96°
Closest atoms and distances in Å follow each position.
Element x y z (fractional)
Tb  0.1684  0.0853  0.2537  3 Pr 3.44-3.84, 3 Y 3.51-3.54
Tb  0.3316  0.5853  0.9169  3 Pr 3.44-3.84, 3 Y 3.51-3.54
Tb  0.6684  0.4147  0.0831  3 Pr 3.44-3.84, 3 Y 3.51-3.54
Tb  0.8316  0.9147  0.7463  3 Pr 3.44-3.84, 3 Y 3.51-3.54
Pr  0.1722  0.7508  0.9230  2 Pr 3.41, 1 Y 3.42, 1 Tb 3.44
Pr  0.2500  0.0032  0.7532  1 Y 3.04, 5 Pr 3.12-3.41
Pr  0.2500  0.4968  0.2468  1 Y 3.04, 5 Pr 3.12-3.41
Pr  0.2500  0.7500  0.5000  4 Pr 3.12-3.26
Pr  0.3278  0.2508  0.5787  2 Pr 3.41, 1 Y 3.42, 1 Tb 3.44
Pr  0.6722  0.7492  0.4213  2 Pr 3.41, 1 Y 3.42, 1 Tb 3.44
Pr  0.7500  0.2500  0.5000  4 Pr 3.12-3.26
Pr  0.7500  0.5032  0.7532  1 Y 3.04, 5 Pr 3.12-3.41
Pr  0.7500  0.9968  0.2468  1 Y 3.04, 5 Pr 3.12-3.41
Pr  0.8278  0.2492  0.0770  2 Pr 3.41, 1 Y 3.42, 1 Tb 3.44
Y  0.1683  0.4133  0.5815  3 Pr 3.42-3.51, 1 Tb 3.54
Y  0.2500  0.2500  0.0000  2 Pr 3.04, 2 Y 3.26
Y  0.3317  0.9133  0.2450  3 Pr 3.42-3.51, 1 Tb 3.54
Y  0.6683  0.0867  0.7550  3 Pr 3.42-3.51, 1 Tb 3.54
Y  0.7500  0.7500  0.0000  2 Pr 3.04, 2 Y 3.26
Y  0.8317  0.5867  0.4185  3 Pr 3.42-3.51, 1 Tb 3.54

Summary:
- ΔE to the lowest computed polymorph: 101 kJ/mol of formula units
- D(E_F): 31.928 states/eV/cell
- ΔE_f: 0.278 eV per atom

=====

A plane-wave DFT calculation with PBE was carried out for a relaxed structure of AcPmNdY3.

a = 10.9776 Å, b = 3.6833 Å, c = 11.0184 Å
α = 90.00°, β = 109.54°, γ = 90.00°
Closest atoms and distances in Å follow each position.
Element x y z (fractional)
Ac  0.2091  0.2500  0.3719  7 Y 3.63-3.71, 3 Pm 3.68-3.74, 2 Ac 3.68
Ac  0.7909  0.7500  0.6281  7 Y 3.63-3.71, 3 Pm 3.68-3.74, 2 Ac 3.68
Pm  0.1267  0.7500  0.6298  2 Nd 3.65, 3 Y 3.66-3.67, 3 Ac 3.68-3.74, 4 Pm 3.68-3.74
Pm  0.8733  0.2500  0.3702  2 Nd 3.65, 3 Y 3.66-3.67, 3 Ac 3.68-3.74, 4 Pm 3.68-3.74
Nd  0.3760  0.2500  0.8764  6 Y 3.61-3.66, 4 Nd 3.64-3.68, 2 Pm 3.65
Nd  0.6240  0.7500  0.1236  6 Y 3.61-3.66, 4 Nd 3.64-3.68, 2 Pm 3.65
Y  0.0443  0.2500  0.8801  7 Y 3.60-3.70, 1 Nd 3.66, 2 Pm 3.67, 2 Ac 3.70
Y  0.2928  0.7500  0.1193  7 Y 3.60-3.70, 3 Nd 3.61-3.62, 2 Ac 3.70
Y  0.4602  0.7500  0.6287  3 Ac 3.63-3.71, 2 Nd 3.66, 6 Y 3.66-3.72, 1 Pm 3.66
Y  0.5398  0.2500  0.3713  3 Ac 3.63-3.71, 2 Nd 3.66, 6 Y 3.66-3.72, 1 Pm 3.66
Y  0.7072  0.2500  0.8807  7 Y 3.60-3.70, 3 Nd 3.61-3.62, 2 Ac 3.70
Y  0.9557  0.7500  0.1199  7 Y 3.60-3.70, 1 Nd 3.66, 2 Pm 3.67, 2 Ac 3.70

Summary:
- D(E_F): 16.797 states/eV/cell
- ΔE_f: 0.032 eV per atom